# Ta2TcRu

A relaxed Ta2TcRu crystal (PBEsol, Alexandria via LeMat-Bulk).

energy of formation from the pure elements = -0.393 eV/atom

abc: 3.1447 3.1447 6.2746
angles: 90.00 90.00 90.00
With the nearest neighbours (Å) after each atom.
Space group P4/mmm (No. 123)
Unique sites:
Ta 0.0000 0.0000 0.2459 [2 per cell]  4 Tc 2.71, 4 Ru 2.74
Tc 0.5000 0.5000 0.0000 [1 per cell]  8 Ta 2.71
Ru 0.5000 0.5000 0.5000 [1 per cell]  8 Ta 2.74



# IrPt2S

A relaxed IrPt2S crystal (PBEsol, Alexandria via LeMat-Bulk).

raw formation energy = 0.702 eV per atom

abc: 4.6723 4.6723 13.6586
angles: 90.00 90.00 90.00
With the nearest neighbours (Å) after each atom.
Space group I-42d (No. 122)
Unique sites:
Ir 0.0000 0.0000 0.0000 [4 per cell]  4 Pt 2.50
Pt 0.1998 0.2500 0.6250 [8 per cell]  2 S 2.27, 2 Ir 2.50
S 0.0000 0.0000 0.5000 [4 per cell]  4 Pt 2.27



# Ca2Fe3O8

A relaxed Ca2Fe3O8 crystal (PBEsol, Alexandria via LeMat-Bulk).

raw formation energy = -1.869 eV per atom

abc: 10.8393 5.7830 4.8749
angles: 90.00 109.58 90.00
With the nearest neighbours (Å) after each atom.
Space group C2/m (No. 12)
Unique sites:
Ca 0.2244 0.0000 0.1695 [4 per cell]  6 O 2.25-2.39
Fe 0.0000 0.2452 0.5000 [4 per cell]  6 O 1.83-1.96
Fe 0.0000 0.5000 0.0000 [2 per cell]  6 O 1.86-1.87
O 0.0963 0.5000 0.3984 [4 per cell]  3 Fe 1.87-1.96
O 0.1000 0.0000 0.4612 [4 per cell]  2 Fe 1.83
O 0.0996 0.2794 0.8890 [8 per cell]  2 Fe 1.85-1.86



# Ca3Mg

A relaxed Ca3Mg crystal (PBEsol, Alexandria via LeMat-Bulk).

energy of formation from the pure elements = -0.037 eV/atom

abc: 3.9595 3.9595 9.0960
angles: 90.00 90.00 90.00
With the nearest neighbours (Å) after each atom.
Space group P4/mmm (No. 123)
Unique sites:
Ca 0.0000 0.0000 0.0000 [1 per cell]  12 Ca 3.84-3.96
Ca 0.5000 0.5000 0.2891 [2 per cell]  4 Mg 3.39
Mg 0.0000 0.0000 0.5000 [1 per cell]  8 Ca 3.39



# TeMoBr2

A relaxed TeMoBr2 crystal (PBEsol, Alexandria via LeMat-Bulk).

E above lowest polymorph = 195 meV per atom
raw formation energy = 0.288 eV per atom

abc: 3.2723 5.4692 10.3517
angles: 90.00 90.00 90.00
With the nearest neighbours (Å) after each atom.
Space group Cmm2 (No. 35)
Unique sites:
Te 0.0000 0.0000 0.0000 [2 per cell]  2 Mo 2.73
Mo 0.0000 0.5000 0.7889 [2 per cell]  2 Br 2.55, 2 Te 2.73
Br 0.0000 0.0000 0.5998 [2 per cell]  2 Mo 2.55
Br 0.0000 0.5000 0.2974 [2 per cell]  8 Br 3.19-3.53, 2 Te 3.49



# CoTePb2O6

A relaxed CoTePb2O6 crystal (PBEsol, Alexandria via LeMat-Bulk).

raw formation energy = -0.995 eV per atom

abc: 5.6642 5.6642 13.6688
angles: 90.00 90.00 120.00
With the nearest neighbours (Å) after each atom.
Space group R-3 (No. 148, hexagonal axes)
Unique sites:
Co 0.0000 0.0000 0.0000 [3 per cell]  6 O 2.05
Te 0.0000 0.0000 0.5000 [3 per cell]  6 O 1.98
Pb 0.0000 0.0000 0.2501 [6 per cell]  9 O 2.55-2.83
O 0.0076 0.5543 0.2490 [18 per cell]  1 Te 1.98, 1 Co 2.05



# Rb2H4Pt

A relaxed Rb2H4Pt crystal (PBEsol, Alexandria via LeMat-Bulk).

DFT total energy = -49.79 eV per cell

abc: 5.7463 5.7463 8.1721
angles: 90.00 90.00 90.00
With the nearest neighbours (Å) after each atom.
Space group P4_2/mnm (No. 136)
Unique sites:
Rb 0.0000 0.5000 0.2500 [4 per cell]  8 H 2.90-2.91
H 0.0000 0.0000 0.2024 [4 per cell]  1 Pt 1.65
H 0.2036 0.2036 0.0000 [4 per cell]  1 Pt 1.65
Pt 0.0000 0.0000 0.0000 [2 per cell]  4 H 1.65



# TlHg3

A relaxed TlHg3 crystal (PBEsol, Alexandria via LeMat-Bulk).

energy of formation from the pure elements = -0.018 eV/atom

abc: 5.8530 10.7608 6.3347
angles: 90.00 90.00 90.00
With the nearest neighbours (Å) after each atom.
Space group Pnma (No. 62)
Unique sites:
Tl 0.0609 0.2500 0.1038 [4 per cell]  10 Hg 3.14-3.34, 2 Tl 3.46
Hg 0.0660 0.2500 0.6088 [4 per cell]  4 Tl 3.14-3.25, 8 Hg 3.19-3.43
Hg 0.2360 0.5038 0.3540 [8 per cell]  8 Hg 3.17-3.33, 3 Tl 3.31-3.34



Copy entry 2 word for word.
# IrPt2S

A relaxed IrPt2S crystal (PBEsol, Alexandria via LeMat-Bulk).

raw formation energy = 0.702 eV per atom

abc: 4.6723 4.6723 13.6586
angles: 90.00 90.00 90.00
With the nearest neighbours (Å) after each atom.
Space group I-42d (No. 122)
Unique sites:
Ir 0.0000 0.0000 0.0000 [4 per cell]  4 Pt 2.50
Pt 0.1998 0.2500 0.6250 [8 per cell]  2 S 2.27, 2 Ir 2.50
S 0.0000 0.0000 0.5000 [4 per cell]  4 Pt 2.27